Run A
DFT (GGA-PBE) results for a relaxed structure of HfZr2Au2.

Properties
- density (Mg/m³) = 11.786
- crystal system = tetragonal

a b c (Å): 7.9351 7.9351 3.3781
angles (deg): 90.00 90.00 90.00
Last column: nearest neighbours and their distance in Å.
Space group P4/mbm (No. 127)
One atom of each set of equivalent atoms:
Hf (0.0000, 0.0000, 0.0000) (multiplicity 2)  4 Zr 2.96
Zr (0.1656, 0.3344, 0.0000) (multiplicity 4)  6 Au 2.83-2.92, 2 Hf 2.96
Au (0.1320, 0.6320, 0.5000) (multiplicity 4)  6 Zr 2.83-2.92, 1 Au 2.96

Run B
DFT (GGA-PBE) results for a relaxed structure of HfZr2Au2.

Properties
- density (Mg/m³) = 11.881
- crystal system = tetragonal

a b c (Å): 7.7018 7.7018 3.5573
angles (deg): 90.00 90.00 90.00
Last column: nearest neighbours and their distance in Å.
Space group P4/mbm (No. 127)
One atom of each set of equivalent atoms:
Hf (0.0000, 0.0000, 0.0000) (multiplicity 2)  4 Au 3.03, 8 Zr 3.36
Zr (0.1721, 0.3279, 0.5000) (multiplicity 4)  6 Au 2.80-2.94
Au (0.1289, 0.6289, 0.0000) (multiplicity 4)  6 Zr 2.80-2.94, 1 Au 2.81, 2 Hf 3.03

Which structure wins on stability? run B wins.

Run A
DFT (GGA-PBE) results for a relaxed structure of HfZrAu.

Properties
- density (Mg/m³) = 12.302
- crystal system = tetragonal

a b c (Å): 3.2769 3.2769 11.7329
angles (deg): 90.00 90.00 90.00
Last column: nearest neighbours and their distance in Å.
Space group I4mm (No. 107)
One atom of each set of equivalent atoms:
Hf (0.0000, 0.0000, 0.0000) (multiplicity 2)  4 Au 2.93, 4 Zr 3.11, 4 Hf 3.28
Zr (0.0000, 0.0000, 0.6767) (multiplicity 2)  4 Au 3.06, 4 Hf 3.11, 4 Zr 3.28
Au (0.0000, 0.0000, 0.3476) (multiplicity 2)  4 Hf 2.93, 4 Zr 3.06, 4 Au 3.28

Run B
DFT (GGA-PBE) results for a relaxed structure of HfZrAu.

Properties
- density (Mg/m³) = 12.055
- crystal system = trigonal

a b c (Å): 4.7686 4.7686 3.2643
angles (deg): 90.00 90.00 120.00
Last column: nearest neighbours and their distance in Å.
Space group P3m1 (No. 156)
One atom of each set of equivalent atoms:
Hf (0.0000, 0.0000, 0.0000) (multiplicity 1)  3 Au 2.77
Zr (0.6667, 0.3333, 0.4780) (multiplicity 1)  6 Au 3.11-3.30, 6 Hf 3.16-3.24, 2 Zr 3.26
Au (0.3333, 0.6667, 0.9205) (multiplicity 1)  3 Hf 2.77

Which structure wins on stability? run A wins.